1.
# Dy2Ni3P4Ir, relaxed, DFT GGA-PBE
data_Dy2Ni3P4Ir
_chemical_formula_sum 'Dy2 Ni3 P4 Ir1'
_space_group_name_H-M_alt 'P -4 m 2'
_space_group_IT_number 115
_space_group_name_Hall 'P -4 -2'
_cell_length_a 4.015
_cell_length_b 4.015
_cell_length_c 9.210
_cell_angle_alpha 90.00
_cell_angle_beta 90.00
_cell_angle_gamma 90.00
loop_
_atom_site_label
_atom_site_type_symbol
_atom_site_fract_x
_atom_site_fract_y
_atom_site_fract_z
_atom_site_occupancy
Dy1 Dy 0.000 0.500 0.240 1
Ni1 Ni 0.000 0.500 0.884 1
Ni2 Ni 0.500 0.500 0.500 1
P1 P 0.000 0.000 0.000 1
P2 P 0.000 0.500 0.639 1
P3 P 0.500 0.500 0.000 1
Ir1 Ir 0.000 0.000 0.500 1
# ΔE_f = -0.968 eV/atom
# V = 148.45 Å³/cell
# total DFT energy (no corrections) = -66.73 eV per cell

=====

2.
# PmDyNiIr, relaxed, DFT GGA-PBE
data_PmDyNiIr
_chemical_formula_sum 'Pm2 Dy2 Ni2 Ir2'
_space_group_name_H-M_alt 'A m m 2'
_space_group_IT_number 38
_space_group_name_Hall 'A 2 -2'
_cell_length_a 4.105
_cell_length_b 3.922
_cell_length_c 10.758
_cell_angle_alpha 90.00
_cell_angle_beta 90.00
_cell_angle_gamma 90.00
loop_
_atom_site_label
_atom_site_type_symbol
_atom_site_fract_x
_atom_site_fract_y
_atom_site_fract_z
_atom_site_occupancy
Pm1 Pm 0.000 0.000 0.000 1
Dy1 Dy 0.500 0.000 0.716 1
Ni1 Ni 0.500 0.000 0.429 1
Ir1 Ir 0.000 0.000 0.279 1
# ΔE_f = -0.599 eV/atom
# V = 173.21 Å³/cell
# total DFT energy (no corrections) = -52.78 eV per cell
# E above lowest polymorph = 0.000 eV/atom

=====

3.
# PmDyNiIr, relaxed, DFT GGA-PBE
data_PmDyNiIr
_chemical_formula_sum 'Pm4 Dy4 Ni4 Ir4'
_space_group_name_H-M_alt 'F -4 3 m'
_space_group_IT_number 216
_space_group_name_Hall 'F -4 2 3'
_cell_length_a 6.913
_cell_length_b 6.913
_cell_length_c 6.913
_cell_angle_alpha 90.00
_cell_angle_beta 90.00
_cell_angle_gamma 90.00
loop_
_atom_site_label
_atom_site_type_symbol
_atom_site_fract_x
_atom_site_fract_y
_atom_site_fract_z
_atom_site_occupancy
Pm1 Pm 0.000 0.000 0.000 1
Dy1 Dy 0.000 0.000 0.500 1
Ni1 Ni 0.250 0.250 0.750 1
Ir1 Ir 0.250 0.250 0.250 1
# ΔE_f = -0.550 eV/atom
# V = 330.33 Å³/cell
# total DFT energy (no corrections) = -104.78 eV per cell
# E above lowest polymorph = 0.049 eV/atom